[1]
The following is a PBE calculation of a geometry-optimized SrTb4YS8 structure, from Alexandria via LeMat-Bulk.

Geometry as POSCAR:
```
SrTb4YS8
1.0
4.0961 2.3649 6.6826
-4.0961 2.3649 6.6826
0.0000 -4.7298 6.6826
Sr Tb Y S
1 4 1 8
Cartesian
0.0000 0.0000 0.0000
0.0000 -2.4000 10.8710
-2.0784 1.2000 10.8710
0.0000 0.0000 15.0348
2.0784 1.2000 10.8710
0.0000 0.0000 7.4793
0.0000 0.0000 2.7850
0.0000 -2.1005 5.7567
-1.8191 1.0502 5.7567
-1.9204 -1.1088 9.2332
1.8191 1.0502 5.7567
1.9205 -1.1088 9.2332
0.0000 2.2175 9.2332
0.0000 0.0000 12.3767
```

Output
Its crystal system is trigonal. The formation energy from raw total energies is -1997 meV/atom.

=====

[2]
The following is a PBE calculation of a geometry-optimized K3CdCl structure, from Alexandria via LeMat-Bulk.

Geometry as POSCAR:
```
K3CdCl
1.0
6.1031 0.0000 0.0000
0.0000 6.1031 0.0000
0.0000 0.0000 6.1031
K Cd Cl
3 1 1
Cartesian
0.0000 0.0000 3.0516
0.0000 3.0516 0.0000
3.0516 0.0000 0.0000
3.0516 3.0516 3.0516
0.0000 0.0000 0.0000
```

Output
Its crystal system is cubic. The formation energy from raw total energies is -686 meV/atom.

=====

[3]
The following is a PBE calculation of a geometry-optimized CrFe2P structure, from Alexandria via LeMat-Bulk.

Geometry as POSCAR:
```
CrFe2P
1.0
2.7796 0.0000 0.0000
0.0000 2.7796 0.0000
0.0000 0.0000 5.7142
Cr Fe P
1 2 1
Cartesian
0.0000 0.0000 0.0000
0.0000 0.0000 3.0645
1.3898 1.3898 1.4648
1.3898 1.3898 4.2644
```

Output
Its formation energy is -0.107 eV/atom. Its crystal system is tetragonal.

=====

[4]
The following is a PBE calculation of a geometry-optimized GaFe2Pd6 structure, from Alexandria via LeMat-Bulk.

Geometry as POSCAR:
```
GaFe2Pd6
1.0
4.2995 -1.9821 0.0000
4.2995 1.9821 0.0000
-2.4617 0.0000 7.7469
Ga Fe Pd
1 2 6
Cartesian
0.0000 0.0000 0.0000
1.8976 0.0000 3.3981
4.2396 0.0000 4.3488
-0.6760 0.0000 2.6601
0.8162 0.0000 5.8668
2.7150 0.0000 0.8398
3.4223 0.0000 6.9071
5.3211 0.0000 1.8801
6.8132 0.0000 5.0868
```

Output
Its formation energy is -0.232 eV/atom. Its crystal system is monoclinic. The value obtained for the polymorph energy (0 for the lowest one) is 9 meV per atom.

=====

[5]
The following is a PBE calculation of a geometry-optimized TlSb2Cl structure, from Alexandria via LeMat-Bulk.

Geometry as POSCAR:
```
TlSb2Cl
1.0
-2.2134 2.2134 12.6814
2.2134 -2.2134 12.6814
2.2134 2.2134 -12.6814
Tl Sb Cl
2 4 2
Cartesian
0.0000 0.0000 0.0000
0.0000 2.2134 6.3407
1.1067 -0.9482 9.5110
1.2652 1.1067 3.1703
1.1067 3.1616 -3.1703
0.9482 1.1067 15.8517
2.2134 0.0000 6.3407
0.0000 0.0000 12.6814
```

Output
Its crystal system is tetragonal. The formation energy from raw total energies is -200 meV/atom. The value obtained for the polymorph energy (0 for the lowest one) is 204 meV per atom.

=====

[6]
The following is a PBE calculation of a geometry-optimized SmMg2UN4 structure, from Alexandria via LeMat-Bulk.

Geometry as POSCAR:
```
SmMg2UN4
1.0
5.6011 0.0000 0.0000
0.0000 3.4490 0.0000
-2.1087 0.0000 5.5908
Sm Mg U N
1 2 1 4
Cartesian
0.0000 0.0000 0.0000
1.7462 0.0000 2.7954
2.8005 1.7245 0.0000
-1.0544 1.7245 2.7954
0.7399 1.7245 1.5523
-0.1618 0.0000 4.1150
3.6542 0.0000 1.4758
2.7525 1.7245 4.0385
```

Output
Its crystal system is monoclinic. The formation energy from raw total energies is -1119 meV/atom.

=====

[7]
The following is a PBE calculation of a geometry-optimized HoErBiPb structure, from Alexandria via LeMat-Bulk.

Geometry as POSCAR:
```
HoErBiPb
1.0
4.4360 0.0000 0.0000
0.0000 4.4587 0.0000
-0.0087 0.0000 6.2709
Ho Er Bi Pb
1 1 1 1
Cartesian
0.0000 0.0000 0.0000
2.2136 2.2294 3.1355
-0.0043 0.0000 3.1355
2.2180 2.2294 0.0000
```

Output
Its formation energy is -0.555 eV/atom. Its crystal system is monoclinic.

=====

[8]
The following is a PBE calculation of a geometry-optimized Cs2CaTe2O6 structure, from Alexandria via LeMat-Bulk.

Geometry as POSCAR:
```
Cs2CaTe2O6
1.0
5.5610 -3.2099 0.0000
5.5610 3.2099 0.0000
-1.6348 0.0000 7.9564
Cs Ca Te O
2 1 2 6
Cartesian
1.8567 0.0000 1.5107
7.6304 0.0000 6.4457
5.5610 0.0000 0.0000
0.2201 0.0000 5.7955
9.2670 0.0000 2.1610
4.5480 1.7535 1.3156
1.9083 0.0000 6.6337
4.9391 1.7535 6.6408
4.5480 -1.7535 1.3156
7.5788 0.0000 1.3228
4.9391 -1.7535 6.6408
```

Output
Its crystal system is monoclinic. The formation energy from raw total energies is -1677 meV/atom.

=====

no.,E_tot (eV/atom),N(E_F) (states/eV/atom)
1,-6.260,0.2562
2,-1.897,0.7422
3,-8.097,0.9168
4,-5.911,0.7142
5,-3.314,0.0818
6,-7.682,0.3502
7,-4.737,0.7228
8,-5.290,0.0000